Entry 1:
Pm2AlSi3Rh4 | GGA-PBE | optimized geometry

Cell lengths 4.169, 4.169, 9.994 Å; angles 90.00, 90.00, 90.00 degrees
Space group P-4m2 (No. 115)
Symmetry-distinct sites (fractional):
Pm  0.000  0.500  0.250 x2
Al  0.000  0.000  0.500 x1
Si  0.000  0.500  0.873 x2
Si  0.500  0.500  0.500 x1
Rh  0.000  0.000  0.000 x1
Rh  0.000  0.500  0.633 x2
Rh  0.500  0.500  0.000 x1

The formation energy from raw total energies is -1037 meV per atom. The calculation puts the density of states at the Fermi level at 0.66 states/eV per atom.

Entry 2:
Pm3AlSi6Rh2 | GGA-PBE | optimized geometry

Cell lengths 5.7339, 5.7339, 8.2354 Å; angles 90.00, 90.00, 120.00 degrees
Space group P-3m1 (No. 164)
Symmetry-distinct sites (fractional):
Pm  0.0000  0.0000  0.0000 x1
Pm  0.3333  0.6667  0.6107 x2
Al  0.0000  0.0000  0.5000 x1
Si  0.1908  0.3816  0.2766 x6
Rh  0.3333  0.6667  0.0416 x2

The formation energy from raw total energies is -400 meV per atom. The calculation puts the density of states at the Fermi level at 0.40 states/eV per atom.

Entry 3:
Pm2Al2SiRh5 | GGA-PBE | optimized geometry

Cell lengths 10.025, 10.025, 3.364 Å; angles 90.00, 90.00, 90.00 degrees
Space group P4/mbm (No. 127)
Symmetry-distinct sites (fractional):
Pm  0.174  0.326  0.000 x4
Al  0.126  0.626  0.000 x4
Si  0.000  0.000  0.000 x2
Rh  0.000  0.500  0.500 x2
Rh  0.061  0.803  0.500 x8

The formation energy from raw total energies is -776 meV per atom. The calculation puts the density of states at the Fermi level at 0.32 states/eV per atom.

Entry 4:
Pm2AlSiRh6 | GGA-PBE | optimized geometry

Cell lengths 6.384, 6.395, 9.036 Å; angles 90.00, 90.00, 90.00 degrees
Space group Immm (No. 71)
Symmetry-distinct sites (fractional):
Pm  0.000  0.000  0.250 x4
Al  0.000  0.500  0.000 x2
Si  0.000  0.500  0.500 x2
Rh  0.000  0.500  0.254 x4
Rh  0.246  0.254  0.500 x8

The formation energy from raw total energies is -539 meV per atom. The calculation puts the density of states at the Fermi level at 0.79 states/eV per atom.

Entry 5:
PmAlSi2Rh5 | GGA-PBE | optimized geometry

Cell lengths 4.102, 4.102, 9.624 Å; angles 90.00, 90.00, 90.00 degrees
Space group P4/mmm (No. 123)
Symmetry-distinct sites (fractional):
Pm  0.000  0.000  0.000 x1
Al  0.000  0.000  0.500 x1
Si  0.500  0.500  0.237 x2
Rh  0.000  0.500  0.349 x4
Rh  0.500  0.500  0.000 x1

The formation energy from raw total energies is -655 meV per atom. The calculation puts the density of states at the Fermi level at 0.51 states/eV per atom.

Entry 6:
PmAl2SiRh | GGA-PBE | optimized geometry

Cell lengths 3.949, 4.109, 11.140 Å; angles 90.00, 90.00, 90.00 degrees
Space group Imm2 (No. 44)
Symmetry-distinct sites (fractional):
Pm  0.000  0.000  0.000 x2
Al  0.000  0.000  0.380 x2
Al  0.000  0.500  0.242 x2
Si  0.000  0.000  0.604 x2
Rh  0.000  0.500  0.736 x2

The formation energy from raw total energies is -772 meV per atom. The calculation puts the density of states at the Fermi level at 0.37 states/eV per atom.

Entry 7:
PmAl2SiRh2 | GGA-PBE | optimized geometry

Cell lengths 4.494, 4.494, 5.647 Å; angles 90.00, 90.00, 90.00 degrees
Space group P4/mmm (No. 123)
Symmetry-distinct sites (fractional):
Pm  0.000  0.000  0.000 x1
Al  0.500  0.500  0.244 x2
Si  0.000  0.000  0.500 x1
Rh  0.000  0.500  0.500 x2

The formation energy from raw total energies is -622 meV per atom. The calculation puts the density of states at the Fermi level at 0.75 states/eV per atom.

Entry 8:
PmSmAlRh | GGA-PBE | optimized geometry

Cell lengths 7.225, 7.225, 7.225 Å; angles 90.00, 90.00, 90.00 degrees
Space group F-43m (No. 216)
Symmetry-distinct sites (fractional):
Pm  0.000  0.000  0.000 x4
Sm  0.000  0.000  0.500 x4
Al  0.250  0.250  0.750 x4
Rh  0.250  0.250  0.250 x4

The formation energy is -0.446 eV per atom. The calculation puts the density of states at the Fermi level at 0.90 states/eV per atom.

Entry 9:
PmSmAlRh | GGA-PBE | optimized geometry

Cell lengths 3.806, 4.523, 11.367 Å; angles 90.00, 90.00, 90.00 degrees
Space group Amm2 (No. 38)
Symmetry-distinct sites (fractional):
Pm  0.000  0.000  0.000 x2
Sm  0.500  0.000  0.291 x2
Al  0.500  0.000  0.594 x2
Rh  0.000  0.000  0.743 x2

The formation energy is -0.582 eV per atom. The calculation puts the density of states at the Fermi level at 0.87 states/eV per atom.

Entry 10:
Pm2AlSn3Rh4 | GGA-PBE | optimized geometry

Cell lengths 4.408, 4.408, 10.748 Å; angles 90.00, 90.00, 90.00 degrees
Space group P-4m2 (No. 115)
Symmetry-distinct sites (fractional):
Pm  0.000  0.500  0.248 x2
Al  0.500  0.500  0.000 x1
Sn  0.000  0.000  0.000 x1
Sn  0.000  0.500  0.633 x2
Rh  0.000  0.000  0.500 x1
Rh  0.000  0.500  0.874 x2
Rh  0.500  0.500  0.500 x1

The formation energy is -0.742 eV per atom. The calculation puts the density of states at the Fermi level at 0.77 states/eV per atom.

Entry 11:
Pm2Al2SnRh5 | GGA-PBE | optimized geometry

Cell lengths 10.022, 10.022, 3.555 Å; angles 90.00, 90.00, 90.00 degrees
Space group P4/mbm (No. 127)
Symmetry-distinct sites (fractional):
Pm  0.177  0.323  0.000 x4
Al  0.120  0.620  0.000 x4
Sn  0.000  0.000  0.000 x2
Rh  0.000  0.500  0.500 x2
Rh  0.068  0.789  0.500 x8

The formation energy is -0.824 eV per atom. The calculation puts the density of states at the Fermi level at 0.30 states/eV per atom.

Entry 12:
TbPmAlRh | GGA-PBE | optimized geometry

Cell lengths 7.167, 7.167, 7.167 Å; angles 90.00, 90.00, 90.00 degrees
Space group F-43m (No. 216)
Symmetry-distinct sites (fractional):
Tb  0.000  0.000  0.000 x4
Pm  0.000  0.000  0.500 x4
Al  0.250  0.250  0.250 x4
Rh  0.250  0.250  0.750 x4

The formation energy is -0.483 eV per atom. The calculation puts the density of states at the Fermi level at 0.97 states/eV per atom.

Please write out number 3 again, unchanged.
Pm2Al2SiRh5 | GGA-PBE | optimized geometry

Cell lengths 10.025, 10.025, 3.364 Å; angles 90.00, 90.00, 90.00 degrees
Space group P4/mbm (No. 127)
Symmetry-distinct sites (fractional):
Pm  0.174  0.326  0.000 x4
Al  0.126  0.626  0.000 x4
Si  0.000  0.000  0.000 x2
Rh  0.000  0.500  0.500 x2
Rh  0.061  0.803  0.500 x8

The formation energy from raw total energies is -776 meV per atom. The calculation puts the density of states at the Fermi level at 0.32 states/eV per atom.